No. 1
Below is a relaxed structure of LaDy7Ho2, with properties calculated at the PBE level.

Results
Total moment   0.0 Bohr magnetons per cell
Electronic total energy   -3.940 eV/atom
Calculated volume   39.70 Å³ per atom
Crystal system   orthorhombic
Energy relative to the lowest polymorph listed for this composition   649.6 meV per atom
DFT formation energy   666 kJ/mol of formula units
SG   Cmmm

Cell: 9.130 9.130 5.661 Å, 90.00 90.00 122.74°
Atoms (fractional coordinates):
La  0.000  0.000  0.000
Dy  0.060  0.294  0.500
Dy  0.221  0.779  0.000
Dy  0.294  0.060  0.500
Dy  0.500  0.500  0.500
Dy  0.706  0.940  0.500
Dy  0.779  0.221  0.000
Dy  0.940  0.706  0.500
Ho  0.297  0.703  0.500
Ho  0.703  0.297  0.500



No. 2
Below is a relaxed structure of La7Dy2Ho, with properties calculated at the PBE level.

Results
Total moment   0.0 Bohr magnetons per cell
Electronic total energy   -4.232 eV/atom
Calculated volume   42.32 Å³ per atom
Crystal system   orthorhombic
Energy relative to the lowest polymorph listed for this composition   264.5 meV per atom
DFT formation energy   575 kJ/mol of formula units
SG   Cmmm

Cell: 9.397 9.397 5.762 Å, 90.00 90.00 123.73°
Atoms (fractional coordinates):
La  0.000  0.000  0.000
La  0.206  0.431  0.000
La  0.271  0.729  0.500
La  0.431  0.206  0.000
La  0.569  0.794  0.000
La  0.729  0.271  0.500
La  0.794  0.569  0.000
Dy  0.206  0.794  0.000
Dy  0.794  0.206  0.000
Ho  0.500  0.500  0.500



No. 3
Below is a relaxed structure of LaDy6Ho3, with properties calculated at the PBE level.

Results
Total moment   0.1 Bohr magnetons per cell
Electronic total energy   -4.349 eV/atom
Calculated volume   32.62 Å³ per atom
Crystal system   trigonal
Energy relative to the lowest polymorph listed for this composition   128.0 meV per atom
DFT formation energy   269 kJ/mol of formula units
SG   R3

Cell: 6.885 6.885 6.885 Å, 90.96 90.96 90.96°
Atoms (fractional coordinates):
La  0.000  0.000  0.000
Dy  0.171  0.828  0.498
Dy  0.334  0.666  0.998
Dy  0.498  0.171  0.828
Dy  0.666  0.998  0.334
Dy  0.828  0.498  0.171
Dy  0.998  0.334  0.666
Ho  0.257  0.257  0.257
Ho  0.502  0.502  0.502
Ho  0.749  0.749  0.749



No. 4
Below is a relaxed structure of La12Dy6Ho, with properties calculated at the PBE level.

Results
Total moment   0.0 Bohr magnetons per cell
Electronic total energy   -4.584 eV/atom
Calculated volume   35.79 Å³ per atom
Crystal system   trigonal
DFT formation energy   408 kJ/mol of formula units
SG   R-3

Cell: 9.330 9.330 9.330 Å, 106.80 106.80 106.80°
Atoms (fractional coordinates):
La  0.116  0.286  0.817
La  0.183  0.884  0.714
La  0.194  0.489  0.585
La  0.286  0.817  0.116
La  0.415  0.806  0.511
La  0.489  0.585  0.194
La  0.511  0.415  0.806
La  0.585  0.194  0.489
La  0.714  0.183  0.884
La  0.806  0.511  0.415
La  0.817  0.116  0.286
La  0.884  0.714  0.183
Dy  0.089  0.439  0.193
Dy  0.193  0.089  0.439
Dy  0.439  0.193  0.089
Dy  0.561  0.807  0.911
Dy  0.807  0.911  0.561
Dy  0.911  0.561  0.807
Ho  0.000  0.000  0.000



No. 5
Below is a relaxed structure of La6DyHo3, with properties calculated at the PBE level.

Results
Total moment   0.0 Bohr magnetons per cell
Electronic total energy   -4.553 eV/atom
Calculated volume   35.90 Å³ per atom
Crystal system   trigonal
DFT formation energy   228 kJ/mol of formula units
SG   R-3m

Cell: 9.078 9.078 9.078 Å, 80.09 80.09 80.09°
Atoms (fractional coordinates):
La  0.038  0.038  0.333
La  0.038  0.333  0.038
La  0.212  0.212  0.593
La  0.212  0.593  0.212
La  0.333  0.038  0.038
La  0.407  0.788  0.788
La  0.593  0.212  0.212
La  0.667  0.962  0.962
La  0.788  0.407  0.788
La  0.788  0.788  0.407
La  0.962  0.667  0.962
La  0.962  0.962  0.667
Dy  0.000  0.000  0.000
Dy  0.500  0.500  0.500
Ho  0.134  0.605  0.605
Ho  0.395  0.395  0.866
Ho  0.395  0.866  0.395
Ho  0.605  0.134  0.605
Ho  0.605  0.605  0.134
Ho  0.866  0.395  0.395



No. 6
Below is a relaxed structure of La3Dy2Ho, with properties calculated at the PBE level.

Results
Total moment   0.0 Bohr magnetons per cell
Electronic total energy   -4.742 eV/atom
Calculated volume   34.28 Å³ per atom
Crystal system   triclinic
Energy relative to the lowest polymorph listed for this composition   0.0 meV per atom
DFT formation energy   11 kJ/mol of formula units
SG   P-1

Cell: 7.311 7.344 9.089 Å, 90.04 101.85 119.83°
Atoms (fractional coordinates):
La  0.002  0.249  0.493
La  0.221  0.861  0.167
La  0.278  0.636  0.835
La  0.722  0.364  0.165
La  0.779  0.139  0.833
La  0.998  0.751  0.507
Dy  0.228  0.361  0.171
Dy  0.275  0.139  0.833
Dy  0.725  0.861  0.167
Dy  0.772  0.639  0.829
Ho  0.499  0.747  0.496
Ho  0.501  0.253  0.504



No. 7
Below is a relaxed structure of La12Dy5Ho2, with properties calculated at the PBE level.

Results
Total moment   0.0 Bohr magnetons per cell
Electronic total energy   -4.650 eV/atom
Calculated volume   34.98 Å³ per atom
Crystal system   monoclinic
Energy relative to the lowest polymorph listed for this composition   56.3 meV per atom
DFT formation energy   283 kJ/mol of formula units
SG   C2/m

Cell: 10.463 10.463 10.069 Å, 115.45 115.45 42.82°
Atoms (fractional coordinates):
La  0.000  0.000  0.205
La  0.000  0.000  0.795
La  0.067  0.604  0.506
La  0.089  0.591  0.155
La  0.396  0.933  0.494
La  0.409  0.911  0.845
La  0.485  0.485  0.650
La  0.515  0.515  0.350
La  0.591  0.089  0.155
La  0.604  0.067  0.506
La  0.911  0.409  0.845
La  0.933  0.396  0.494
Dy  0.000  0.000  0.500
Dy  0.174  0.174  0.167
Dy  0.322  0.322  0.809
Dy  0.678  0.678  0.191
Dy  0.826  0.826  0.833
Ho  0.302  0.698  0.000
Ho  0.698  0.302  0.000



No. 8
Below is a relaxed structure of La6DyHo5, with properties calculated at the PBE level.

Results
Total moment   0.0 Bohr magnetons per cell
Electronic total energy   -4.734 eV/atom
Calculated volume   33.93 Å³ per atom
Crystal system   orthorhombic
Energy relative to the lowest polymorph listed for this composition   0.0 meV per atom
DFT formation energy   24 kJ/mol of formula units
SG   Immm

Cell: 9.636 9.636 9.636 Å, 148.52 117.82 71.36°
Atoms (fractional coordinates):
La  0.083  0.333  0.750
La  0.249  0.000  0.249
La  0.416  0.667  0.750
La  0.584  0.333  0.250
La  0.751  0.000  0.751
La  0.917  0.667  0.250
Dy  0.500  0.500  0.000
Ho  0.000  0.500  0.500
Ho  0.167  0.167  0.000
Ho  0.333  0.833  0.500
Ho  0.667  0.167  0.500
Ho  0.833  0.833  0.000



No. 9
Below is a relaxed structure of La2Dy2Ho, with properties calculated at the PBE level.

Results
Total moment   0.0 Bohr magnetons per cell
Electronic total energy   -4.217 eV/atom
Calculated volume   35.95 Å³ per atom
Crystal system   tetragonal
Energy relative to the lowest polymorph listed for this composition   271.2 meV per atom
DFT formation energy   246 kJ/mol of formula units
SG   I4/mcm

Cell: 8.142 8.142 8.142 Å, 98.95 98.95 133.55°
Atoms (fractional coordinates):
La  0.110  0.610  0.720
La  0.390  0.110  0.500
La  0.610  0.890  0.500
La  0.890  0.390  0.280
Dy  0.190  0.310  0.500
Dy  0.310  0.810  0.121
Dy  0.690  0.190  0.879
Dy  0.810  0.690  0.500
Ho  0.250  0.250  0.000
Ho  0.750  0.750  0.000



No. 10
Below is a relaxed structure of La4DyHo15, with properties calculated at the PBE level.

Results
Total moment   0.0 Bohr magnetons per cell
Electronic total energy   -4.618 eV/atom
Calculated volume   32.26 Å³ per atom
Crystal system   tetragonal
DFT formation energy   60 kJ/mol of formula units
SG   P4/mmm

Cell: 5.064 5.064 25.156 Å, 90.00 90.00 90.00°
Atoms (fractional coordinates):
La  0.000  0.000  0.101
La  0.000  0.000  0.301
La  0.000  0.000  0.699
La  0.000  0.000  0.899
Dy  0.000  0.000  0.500
Ho  0.000  0.500  0.000
Ho  0.000  0.500  0.201
Ho  0.000  0.500  0.403
Ho  0.000  0.500  0.597
Ho  0.000  0.500  0.799
Ho  0.500  0.000  0.000
Ho  0.500  0.000  0.201
Ho  0.500  0.000  0.403
Ho  0.500  0.000  0.597
Ho  0.500  0.000  0.799
Ho  0.500  0.500  0.101
Ho  0.500  0.500  0.302
Ho  0.500  0.500  0.500
Ho  0.500  0.500  0.698
Ho  0.500  0.500  0.899



No. 11
Below is a relaxed structure of LaDy3Ho4, with properties calculated at the PBE level.

Results
Total moment   0.0 Bohr magnetons per cell
Electronic total energy   -4.488 eV/atom
Calculated volume   32.18 Å³ per atom
Crystal system   orthorhombic
Energy relative to the lowest polymorph listed for this composition   125.4 meV per atom
DFT formation energy   110 kJ/mol of formula units
SG   Immm

Cell: 8.863 8.863 8.863 Å, 157.73 98.07 86.23°
Atoms (fractional coordinates):
La  0.000  0.000  0.000
Dy  0.243  0.743  0.500
Dy  0.500  0.500  0.000
Dy  0.757  0.257  0.500
Ho  0.117  0.865  0.252
Ho  0.387  0.135  0.252
Ho  0.613  0.865  0.748
Ho  0.883  0.135  0.748



No. 12
Below is a relaxed structure of La4DyHo, with properties calculated at the PBE level.

Results
Total moment   0.0 Bohr magnetons per cell
Electronic total energy   -4.753 eV/atom
Calculated volume   34.72 Å³ per atom
Crystal system   monoclinic
Energy relative to the lowest polymorph listed for this composition   0.0 meV per atom
DFT formation energy   36 kJ/mol of formula units
SG   C2/m

Cell: 6.796 6.796 5.875 Å, 115.47 115.47 95.11°
Atoms (fractional coordinates):
La  0.078  0.422  0.250
La  0.422  0.078  0.250
La  0.578  0.922  0.750
La  0.922  0.578  0.750
Dy  0.000  0.000  0.500
Ho  0.500  0.500  0.000